SnSb2C (PBE, relaxed); raw total energy = -18.29 eV/f.u.; space group = I-42d, No. 122; spin magnetization = 0.00 Bohr magnetons per cell; raw formation energy = 0.79 eV/atom
1.0
6.8595 0.0000 0.0000
0.0000 6.8595 0.0000
3.4298 3.4298 4.1049
Sb C Sn
4 2 2
Cartesian
2.3868 5.1446 1.0262 Sb
5.1446 5.8166 3.0786 Sb
8.5744 7.9025 3.0786 Sb
4.4727 1.7149 1.0262 Sb
3.4298 6.8595 2.0524 C
3.4298 3.4298 0.0000 C
0.0000 0.0000 0.0000 Sn
6.8595 3.4298 2.0524 Sn

TaSn2SbC (PBE, relaxed); raw total energy = -27.16 eV/f.u.; space group = P4/mmm, No. 123; spin magnetization = 0.00 Bohr magnetons per cell; raw formation energy = 1.21 eV/atom
1.0
4.5663 0.0000 0.0000
0.0000 4.8592 0.0000
0.0000 0.0000 4.5663
C Ta Sn Sb
1 1 2 1
Cartesian
0.0000 0.0000 0.0000 C
2.2831 2.4296 2.2831 Ta
0.0000 0.0000 2.2831 Sn
2.2831 0.0000 0.0000 Sn
0.0000 2.4296 0.0000 Sb

Which of these has the highest raw total energy?
SnSb2C

Which value of raw total energy does entry 1 give?
-18.29 eV/f.u.

raw formation energy of number 1 (SnSb2C)?
0.79 eV/atom